No. 1
# PBE PuBeZnO5, optimized geometry
# **ΔE_f (raw)**: -2189 meV per atom
# **Spin magnetization**: 0.25 μB/atom
data_PuBeZnO5
_chemical_formula_sum 'Pu4 Be4 Zn4 O20'
_symmetry_space_group_name_H-M 'C 1 2/c 1'
_symmetry_Int_Tables_number 15
_symmetry_space_group_name_Hall '-C 2yc'
_cell_length_a 7.813
_cell_length_b 8.029
_cell_length_c 7.903
_cell_angle_alpha 90.00
_cell_angle_beta 117.57
_cell_angle_gamma 90.00
loop_
_atom_site_label
_atom_site_fract_x
_atom_site_fract_y
_atom_site_fract_z
_atom_site_occupancy
Pu1 0.250 0.250 0.000 1
Be1 0.000 0.092 0.250 1
Zn1 0.000 0.411 0.250 1
O1 0.000 0.357 0.750 1
O2 0.083 0.226 0.148 1
O3 0.177 0.027 0.905 1

No. 2
# PBE Pu2BeZnO8, optimized geometry
# **ΔE_f (raw)**: -2186 meV per atom
# **Spin magnetization**: 0.33 μB/atom
data_Pu2BeZnO8
_chemical_formula_sum 'Pu4 Be2 Zn2 O16'
_symmetry_space_group_name_H-M 'C m m m'
_symmetry_Int_Tables_number 65
_symmetry_space_group_name_Hall '-C 2 2'
_cell_length_a 6.158
_cell_length_b 6.623
_cell_length_c 7.053
_cell_angle_alpha 90.00
_cell_angle_beta 90.00
_cell_angle_gamma 90.00
loop_
_atom_site_label
_atom_site_fract_x
_atom_site_fract_y
_atom_site_fract_z
_atom_site_occupancy
Pu1 0.000 0.000 0.244 1
Be1 0.000 0.500 0.000 1
Zn1 0.000 0.500 0.500 1
O1 0.000 0.285 0.241 1
O2 0.199 0.000 0.500 1
O3 0.236 0.000 0.000 1

No. 3
# PBE Rb2Be2O3, optimized geometry
# **Polymorph energy (0 for the lowest one)**: 0 meV/atom
# **ΔE_f (raw)**: -2087 meV per atom
# **Spin magnetization**: 0.00 μB/atom
data_Rb2Be2O3
_chemical_formula_sum 'Rb8 Be8 O12'
_symmetry_space_group_name_H-M 'P n m a'
_symmetry_Int_Tables_number 62
_symmetry_space_group_name_Hall '-P 2ac 2n'
_cell_length_a 10.854
_cell_length_b 5.377
_cell_length_c 7.852
_cell_angle_alpha 90.00
_cell_angle_beta 90.00
_cell_angle_gamma 90.00
loop_
_atom_site_label
_atom_site_fract_x
_atom_site_fract_y
_atom_site_fract_z
_atom_site_occupancy
Rb1 0.087 0.250 0.125 1
Rb2 0.113 0.750 0.490 1
Be1 0.167 0.250 0.720 1
Be2 0.207 0.750 0.890 1
O1 0.155 0.501 0.818 1
O2 0.187 0.250 0.523 1

No. 4
# PBE Rb2BeO2, optimized geometry
# **ΔE_f (raw)**: -1784 meV per atom
# **Spin magnetization**: 0.00 μB/atom
data_Rb2BeO2
_chemical_formula_sum 'Rb8 Be4 O8'
_symmetry_space_group_name_H-M 'C 1 2/m 1'
_symmetry_Int_Tables_number 12
_symmetry_space_group_name_Hall '-C 2y'
_cell_length_a 12.118
_cell_length_b 5.571
_cell_length_c 8.572
_cell_angle_alpha 90.00
_cell_angle_beta 133.79
_cell_angle_gamma 90.00
loop_
_atom_site_label
_atom_site_fract_x
_atom_site_fract_y
_atom_site_fract_z
_atom_site_occupancy
Rb1 0.127 0.000 0.451 1
Rb2 0.218 0.500 0.812 1
Be1 0.028 0.500 0.144 1
O1 0.075 0.500 0.359 1
O2 0.137 0.500 0.097 1

No. 5
# PBE Rb2Be2O3, optimized geometry
# **Polymorph energy (0 for the lowest one)**: 172 meV/atom
# **ΔE_f (raw)**: -1915 meV per atom
# **Spin magnetization**: 0.00 μB/atom
data_Rb2Be2O3
_chemical_formula_sum 'Rb4 Be4 O6'
_symmetry_space_group_name_H-M 'I m m m'
_symmetry_Int_Tables_number 71
_symmetry_space_group_name_Hall '-I 2 2'
_cell_length_a 2.926
_cell_length_b 8.468
_cell_length_c 8.479
_cell_angle_alpha 90.00
_cell_angle_beta 90.00
_cell_angle_gamma 90.00
loop_
_atom_site_label
_atom_site_fract_x
_atom_site_fract_y
_atom_site_fract_z
_atom_site_occupancy
Rb1 0.000 0.206 0.000 1
Be1 0.000 0.000 0.321 1
O1 0.000 0.000 0.500 1
O2 0.000 0.500 0.268 1

No. 6
# PBE RbBe2O, optimized geometry
# **ΔE_f (raw)**: 27 meV per atom
# **Spin magnetization**: 0.10 μB/atom
data_RbBe2O
_chemical_formula_sum 'Rb4 Be8 O4'
_symmetry_space_group_name_H-M 'I 41/a m d'
_symmetry_Int_Tables_number 141
_cell_length_a 5.763
_cell_length_b 5.763
_cell_length_c 8.445
_cell_angle_alpha 90.00
_cell_angle_beta 90.00
_cell_angle_gamma 90.00
loop_
_symmetry_equiv_pos_as_xyz
'x,y,z'
'-x,-y,-z'
'-y+1/4,x+3/4,z+1/4'
'y+1/4,-x+3/4,-z+1/4'
'-x+1/2,-y,z+1/2'
'x+1/2,y,-z+1/2'
'y+1/4,-x+1/4,z+3/4'
'-y+1/4,x+1/4,-z+3/4'
'x,-y,-z'
'-x,y,z'
'-y+1/4,-x+1/4,-z+3/4'
'y+1/4,x+1/4,z+3/4'
'-x+1/2,y,-z+1/2'
'x+1/2,-y,z+1/2'
'y+1/4,x+3/4,-z+1/4'
'-y+1/4,-x+3/4,z+1/4'
'x+1/2,y+1/2,z+1/2'
'-x+1/2,-y+1/2,-z+1/2'
'-y+3/4,x+1/4,z+3/4'
'y+3/4,-x+1/4,-z+3/4'
'-x,-y+1/2,z'
'x,y+1/2,-z'
'y+3/4,-x+3/4,z+1/4'
'-y+3/4,x+3/4,-z+1/4'
'x+1/2,-y+1/2,-z+1/2'
'-x+1/2,y+1/2,z+1/2'
'-y+3/4,-x+3/4,-z+1/4'
'y+3/4,x+3/4,z+1/4'
'-x,y+1/2,-z'
'x,-y+1/2,z'
'y+3/4,x+1/4,-z+3/4'
'-y+3/4,-x+1/4,z+3/4'
loop_
_atom_site_label
_atom_site_fract_x
_atom_site_fract_y
_atom_site_fract_z
_atom_site_occupancy
Rb1 0.000 0.250 0.375 1
Be1 0.000 0.000 0.000 1
O1 0.000 0.250 0.875 1

No. 7
# PBE Rb2Be2O3, optimized geometry
# **Polymorph energy (0 for the lowest one)**: 32 meV/atom
# **ΔE_f (raw)**: -2054 meV per atom
# **Spin magnetization**: 0.00 μB/atom
data_Rb2Be2O3
_chemical_formula_sum 'Rb8 Be8 O12'
_symmetry_space_group_name_H-M 'P 43 21 2'
_symmetry_Int_Tables_number 96
_symmetry_space_group_name_Hall 'P 4nw 2abw'
_cell_length_a 7.503
_cell_length_b 7.503
_cell_length_c 7.516
_cell_angle_alpha 90.00
_cell_angle_beta 90.00
_cell_angle_gamma 90.00
loop_
_atom_site_label
_atom_site_fract_x
_atom_site_fract_y
_atom_site_fract_z
_atom_site_occupancy
Rb1 0.002 0.247 0.380 1
Be1 0.031 0.281 0.905 1
O1 0.115 0.115 0.000 1
O2 0.125 0.365 0.739 1

No. 8
# PBE Rb3BeO, optimized geometry
# **Polymorph energy (0 for the lowest one)**: 0 meV/atom
# **ΔE_f (raw)**: 6 meV per atom
# **Spin magnetization**: 0.15 μB/atom
data_Rb3BeO
_chemical_formula_sum 'Rb3 Be1 O1'
_symmetry_space_group_name_H-M 'P m -3 m'
_symmetry_Int_Tables_number 221
_symmetry_space_group_name_Hall '-P 4 2 3'
_cell_length_a 5.684
_cell_length_b 5.684
_cell_length_c 5.684
_cell_angle_alpha 90.00
_cell_angle_beta 90.00
_cell_angle_gamma 90.00
loop_
_atom_site_label
_atom_site_fract_x
_atom_site_fract_y
_atom_site_fract_z
_atom_site_occupancy
Rb1 0.000 0.000 0.500 1
Be1 0.500 0.500 0.500 1
O1 0.000 0.000 0.000 1

No. 9
# PBE RbBeRuO2, optimized geometry
# **ΔE_f (raw)**: -267 meV per atom
# **Spin magnetization**: 0.24 μB/atom
data_RbBeRuO2
_chemical_formula_sum 'Rb1 Be1 Ru1 O2'
_symmetry_space_group_name_H-M 'P 4/m m m'
_symmetry_Int_Tables_number 123
_symmetry_space_group_name_Hall '-P 4 2'
_cell_length_a 4.091
_cell_length_b 4.091
_cell_length_c 4.343
_cell_angle_alpha 90.00
_cell_angle_beta 90.00
_cell_angle_gamma 90.00
loop_
_atom_site_label
_atom_site_fract_x
_atom_site_fract_y
_atom_site_fract_z
_atom_site_occupancy
Rb1 0.000 0.000 0.000 1
Be1 0.500 0.500 0.000 1
Ru1 0.500 0.500 0.500 1
O1 0.000 0.500 0.500 1

No. 10
# PBE Rb2BeSbO6, optimized geometry
# **ΔE_f (raw)**: -1146 meV per atom
# **Spin magnetization**: 0.30 μB/atom
data_Rb2BeSbO6
_chemical_formula_sum 'Rb2 Be1 Sb1 O6'
_symmetry_space_group_name_H-M 'P -3 m 1'
_symmetry_Int_Tables_number 164
_symmetry_space_group_name_Hall '-P 3 2"'
_cell_length_a 6.2332
_cell_length_b 6.2332
_cell_length_c 5.2083
_cell_angle_alpha 90.00
_cell_angle_beta 90.00
_cell_angle_gamma 120.00
loop_
_atom_site_label
_atom_site_fract_x
_atom_site_fract_y
_atom_site_fract_z
_atom_site_occupancy
Rb1 0.3333 0.6667 0.1680 1
Be1 0.0000 0.0000 0.0000 1
Sb1 0.0000 0.0000 0.5000 1
O1 0.1328 0.2657 0.7661 1

No. 11
# PBE Rb2ScBe2O4, optimized geometry
# **ΔE_f (raw)**: -2183 meV per atom
# **Spin magnetization**: 0.00 μB/atom
data_Rb2ScBe2O4
_chemical_formula_sum 'Rb4 Sc2 Be4 O8'
_symmetry_space_group_name_H-M 'C 1 2/m 1'
_symmetry_Int_Tables_number 12
_symmetry_space_group_name_Hall '-C 2y'
_cell_length_a 15.279
_cell_length_b 3.055
_cell_length_c 5.985
_cell_angle_alpha 90.00
_cell_angle_beta 94.58
_cell_angle_gamma 90.00
loop_
_atom_site_label
_atom_site_fract_x
_atom_site_fract_y
_atom_site_fract_z
_atom_site_occupancy
Rb1 0.144 0.000 0.061 1
Sc1 0.000 0.000 0.500 1
Be1 0.198 0.500 0.545 1
O1 0.091 0.500 0.484 1
O2 0.234 0.000 0.662 1

No. 12
# PBE RbScBeO3, optimized geometry
# **ΔE_f (raw)**: -2681 meV per atom
# **Spin magnetization**: 0.00 μB/atom
data_RbScBeO3
_chemical_formula_sum 'Rb2 Sc2 Be2 O6'
_symmetry_space_group_name_H-M 'P 1 21/m 1'
_symmetry_Int_Tables_number 11
_symmetry_space_group_name_Hall '-P 2yb'
_cell_length_a 7.648
_cell_length_b 3.192
_cell_length_c 7.667
_cell_angle_alpha 90.00
_cell_angle_beta 112.16
_cell_angle_gamma 90.00
loop_
_atom_site_label
_atom_site_fract_x
_atom_site_fract_y
_atom_site_fract_z
_atom_site_occupancy
Rb1 0.239 0.250 0.214 1
Sc1 0.147 0.250 0.664 1
Be1 0.393 0.750 0.927 1
O1 0.144 0.750 0.479 1
O2 0.171 0.750 0.857 1
O3 0.454 0.250 0.857 1

No. 13
# PBE Rb2BeSeO4, optimized geometry
# **ΔE_f (raw)**: -1379 meV per atom
# **Spin magnetization**: 0.00 μB/atom
data_Rb2BeSeO4
_chemical_formula_sum 'Rb16 Be8 Se8 O32'
_symmetry_space_group_name_H-M 'F d d d'
_symmetry_Int_Tables_number 70
_cell_length_a 4.955
_cell_length_b 12.135
_cell_length_c 20.390
_cell_angle_alpha 90.00
_cell_angle_beta 90.00
_cell_angle_gamma 90.00
loop_
_symmetry_equiv_pos_as_xyz
'x,y,z'
'-x,-y,-z'
'-x+1/4,-y+1/4,z'
'x+1/4,y+1/4,-z'
'x,-y+1/4,-z+1/4'
'-x,y+1/4,z+1/4'
'-x+1/4,y,-z+1/4'
'x+1/4,-y,z+1/4'
'x,y+1/2,z+1/2'
'-x,-y+1/2,-z+1/2'
'-x+1/4,-y+3/4,z+1/2'
'x+1/4,y+3/4,-z+1/2'
'x,-y+3/4,-z+3/4'
'-x,y+3/4,z+3/4'
'-x+1/4,y+1/2,-z+3/4'
'x+1/4,-y+1/2,z+3/4'
'x+1/2,y,z+1/2'
'-x+1/2,-y,-z+1/2'
'-x+3/4,-y+1/4,z+1/2'
'x+3/4,y+1/4,-z+1/2'
'x+1/2,-y+1/4,-z+3/4'
'-x+1/2,y+1/4,z+3/4'
'-x+3/4,y,-z+3/4'
'x+3/4,-y,z+3/4'
'x+1/2,y+1/2,z'
'-x+1/2,-y+1/2,-z'
'-x+3/4,-y+3/4,z'
'x+3/4,y+3/4,-z'
'x+1/2,-y+3/4,-z+1/4'
'-x+1/2,y+3/4,z+1/4'
'-x+3/4,y+1/2,-z+1/4'
'x+3/4,-y+1/2,z+1/4'
loop_
_atom_site_label
_atom_site_fract_x
_atom_site_fract_y
_atom_site_fract_z
_atom_site_occupancy
Rb1 0.125 0.125 0.298 1
Be1 0.125 0.125 0.125 1
Se1 0.125 0.125 0.625 1
O1 0.084 0.296 0.419 1

No. 14
# PBE RbBeSe2O8, optimized geometry
# **ΔE_f (raw)**: -970 meV per atom
# **Spin magnetization**: 0.09 μB/atom
data_RbBeSe2O8
_chemical_formula_sum 'Rb1 Be1 Se2 O8'
_symmetry_space_group_name_H-M 'P -3'
_symmetry_Int_Tables_number 147
_symmetry_space_group_name_Hall '-P 3'
_cell_length_a 4.9829
_cell_length_b 4.9829
_cell_length_c 8.5960
_cell_angle_alpha 90.00
_cell_angle_beta 90.00
_cell_angle_gamma 120.00
loop_
_atom_site_label
_atom_site_fract_x
_atom_site_fract_y
_atom_site_fract_z
_atom_site_occupancy
Rb1 0.0000 0.0000 0.0000 1
Be1 0.0000 0.0000 0.5000 1
Se1 0.3333 0.6667 0.6848 1
O1 0.0464 0.3165 0.6284 1
O2 0.3333 0.6667 0.8783 1

No. 15
# PBE RbBeSiO2, optimized geometry
# **ΔE_f (raw)**: 199 meV per atom
# **Spin magnetization**: 0.00 μB/atom
data_RbBeSiO2
_chemical_formula_sum 'Rb1 Be1 Si1 O2'
_symmetry_space_group_name_H-M 'P 4/m m m'
_symmetry_Int_Tables_number 123
_symmetry_space_group_name_Hall '-P 4 2'
_cell_length_a 3.713
_cell_length_b 3.713
_cell_length_c 6.763
_cell_angle_alpha 90.00
_cell_angle_beta 90.00
_cell_angle_gamma 90.00
loop_
_atom_site_label
_atom_site_fract_x
_atom_site_fract_y
_atom_site_fract_z
_atom_site_occupancy
Rb1 0.000 0.000 0.000 1
Be1 0.500 0.500 0.000 1
Si1 0.000 0.000 0.500 1
O1 0.000 0.500 0.500 1

No. 16
# PBE RbSm2Be2O6, optimized geometry
# **ΔE_f (raw)**: -2550 meV per atom
# **Spin magnetization**: 0.10 μB/atom
data_RbSm2Be2O6
_chemical_formula_sum 'Rb2 Sm4 Be4 O12'
_symmetry_space_group_name_H-M 'C 1 2/m 1'
_symmetry_Int_Tables_number 12
_symmetry_space_group_name_Hall '-C 2y'
_cell_length_a 10.910
_cell_length_b 6.284
_cell_length_c 6.368
_cell_angle_alpha 90.00
_cell_angle_beta 120.66
_cell_angle_gamma 90.00
loop_
_atom_site_label
_atom_site_fract_x
_atom_site_fract_y
_atom_site_fract_z
_atom_site_occupancy
Rb1 0.000 0.000 0.000 1
Sm1 0.175 0.500 0.305 1
Be1 0.152 0.500 0.742 1
O1 0.069 0.500 0.874 1
O2 0.202 0.301 0.661 1

No. 17
# PBE RbBe4Sn3O12, optimized geometry
# **ΔE_f (raw)**: -1703 meV per atom
# **Spin magnetization**: 0.15 μB/atom
data_RbBe4Sn3O12
_chemical_formula_sum 'Rb3 Be12 Sn9 O36'
_symmetry_space_group_name_H-M 'R 3 2'
_symmetry_Int_Tables_number 155
_symmetry_space_group_name_Hall 'R 3 2"'
_cell_length_a 10.4319
_cell_length_b 10.4319
_cell_length_c 7.9935
_cell_angle_alpha 90.00
_cell_angle_beta 90.00
_cell_angle_gamma 120.00
loop_
_atom_site_label
_atom_site_fract_x
_atom_site_fract_y
_atom_site_fract_z
_atom_site_occupancy
Rb1 0.0000 0.0000 0.0000 1
Be1 0.0000 0.0000 0.5000 1
Be2 0.0000 0.4464 0.5000 1
Sn1 0.0000 0.5591 0.0000 1
O1 0.0000 0.5941 0.5000 1
O2 0.0000 0.8495 0.5000 1
O3 0.0400 0.2374 0.1875 1

No. 18
# PBE Rb2BeSnO4, optimized geometry
# **ΔE_f (raw)**: -1774 meV per atom
# **Spin magnetization**: 0.00 μB/atom
data_Rb2BeSnO4
_chemical_formula_sum 'Rb4 Be2 Sn2 O8'
_symmetry_space_group_name_H-M 'I -4'
_symmetry_Int_Tables_number 82
_symmetry_space_group_name_Hall 'I -4'
_cell_length_a 5.762
_cell_length_b 5.762
_cell_length_c 7.878
_cell_angle_alpha 90.00
_cell_angle_beta 90.00
_cell_angle_gamma 90.00
loop_
_atom_site_label
_atom_site_fract_x
_atom_site_fract_y
_atom_site_fract_z
_atom_site_occupancy
Rb1 0.000 0.000 0.000 1
Rb2 0.000 0.500 0.250 1
Be1 0.000 0.000 0.500 1
Sn1 0.000 0.500 0.750 1
O1 0.099 0.228 0.614 1

No. 19
# PBE RbSrBeO2, optimized geometry
# **ΔE_f (raw)**: -1942 meV per atom
# **Spin magnetization**: 0.00 μB/atom
data_RbSrBeO2
_chemical_formula_sum 'Rb2 Sr2 Be2 O4'
_symmetry_space_group_name_H-M 'P 1 2/c 1'
_symmetry_Int_Tables_number 13
_symmetry_space_group_name_Hall '-P 2yc'
_cell_length_a 7.811
_cell_length_b 5.774
_cell_length_c 7.492
_cell_angle_alpha 90.00
_cell_angle_beta 118.41
_cell_angle_gamma 90.00
loop_
_atom_site_label
_atom_site_fract_x
_atom_site_fract_y
_atom_site_fract_z
_atom_site_occupancy
Rb1 0.000 0.185 0.250 1
Sr1 0.500 0.500 0.250 1
Be1 0.500 0.000 0.000 1
O1 0.426 0.234 0.463 1

No. 20
# PBE Rb2SrBe2O4, optimized geometry
# **ΔE_f (raw)**: -2091 meV per atom
# **Spin magnetization**: 0.00 μB/atom
data_Rb2SrBe2O4
_chemical_formula_sum 'Rb4 Sr2 Be4 O8'
_symmetry_space_group_name_H-M 'C 1 2/m 1'
_symmetry_Int_Tables_number 12
_symmetry_space_group_name_Hall '-C 2y'
_cell_length_a 12.968
_cell_length_b 3.390
_cell_length_c 6.996
_cell_angle_alpha 90.00
_cell_angle_beta 114.03
_cell_angle_gamma 90.00
loop_
_atom_site_label
_atom_site_fract_x
_atom_site_fract_y
_atom_site_fract_z
_atom_site_occupancy
Rb1 0.133 0.000 0.059 1
Sr1 0.000 0.000 0.500 1
Be1 0.178 0.500 0.450 1
O1 0.051 0.500 0.294 1
O2 0.212 0.000 0.602 1